Density functional theory data (PBE-GGA) for a relaxed structure of Ti4NbIr.

The value obtained for the volume is 115.3 Å³ per cell. As for the crystal system: tetragonal. The density of states at the Fermi level is 1.049 states/eV per atom. The energy of formation from the pure elements is 132 meV/atom. The electronic total energy comes out at -49.720 eV per formula unit. Its polymorph energy (0 for the lowest one) is 0.495 eV per atom.

It has space group P4/mmm (No. 123), with a = 4.3307 Å, b = 4.3307 Å, c = 6.1502 Å, α = 90.00°, β = 90.00° and γ = 90.00°. The inequivalent atoms are Ti at (0.0000, 0.5000, 0.2432), Nb at (0.0000, 0.0000, 0.5000) and Ir at (0.5000, 0.5000, 0.0000).